Below is a geometry-optimized CsHgAs3 structure, with properties calculated at the PBE level.

- DOS(E_F) (states/eV/atom) = 1.9031
- symmetry = No. 221
- E_form (eV/atom) = 1.6509
- polymorph energy (0 for the lowest one) (meV/atom) = 1122.5

Structure (extended XYZ):
```
5
Lattice="5.8691 0.0000 0.0000 0.0000 5.8691 0.0000 0.0000 0.0000 5.8691" Properties=species:S:1:pos:R:3 pbc="T T T"
As 0.0000 0.0000 2.9345
Cs 0.0000 0.0000 0.0000
Hg 2.9345 2.9345 2.9345
As 0.0000 2.9345 0.0000
As 2.9345 0.0000 0.0000
```